No. 1
Entry from Alexandria via LeMat-Bulk: a geometry-optimized Hg4S3Br structure (GGA-PBE).

Properties
Total DFT energy (no corrections) in eV per atom: -2.0307
DOS(E_F) in states/eV per cell: 3.3

Structure (CIF):
```
data_Hg4S3Br
_cell_length_a 9.0133
_cell_length_b 7.5368
_cell_length_c 7.0900
_cell_angle_alpha 90.00
_cell_angle_beta 90.00
_cell_angle_gamma 90.00
_space_group_name_H-M_alt 'P m n 21'
_space_group_IT_number 31
_space_group_name_Hall 'P 2ac -2'
loop_
_atom_site_label
_atom_site_type_symbol
_atom_site_fract_x
_atom_site_fract_y
_atom_site_fract_z
Hg1 Hg 0.0000 0.1662 0.0000
Hg2 Hg 0.0000 0.7847 0.5785
Hg3 Hg 0.2199 0.6431 0.0782
S1 S 0.0000 0.8249 0.9459
S2 S 0.2494 0.6729 0.4424
Br1 Br 0.0000 0.1753 0.4493
```


No. 2
Entry from Alexandria via LeMat-Bulk: a geometry-optimized Hg3SBr2 structure (GGA-PBE).

Properties
Total DFT energy (no corrections) in eV per atom: -1.6330
DOS(E_F) in states/eV per cell: 0.0

Structure (CIF):
```
data_Hg3SBr2
_cell_length_a 7.0748
_cell_length_b 7.7214
_cell_length_c 9.1669
_cell_angle_alpha 65.65
_cell_angle_beta 81.83
_cell_angle_gamma 69.61
_space_group_name_H-M_alt 'P -1'
_space_group_IT_number 2
_space_group_name_Hall '-P 1'
loop_
_atom_site_label
_atom_site_type_symbol
_atom_site_fract_x
_atom_site_fract_y
_atom_site_fract_z
Hg1 Hg 0.0169 0.1593 0.1959
Hg2 Hg 0.2048 0.6285 0.4112
Hg3 Hg 0.2444 0.1144 0.8556
S1 S 0.0151 0.4405 0.7217
Br1 Br 0.4239 0.7738 0.4938
Br2 Br 0.4671 0.7595 0.9927
```


What is the formula in the second record? Hg3SBr2


Among the records above, which one has the highest DOS(E_F)? Hg4S3Br